The following is a DFT calculation (PBE) of Y2Zn5Pb after structural relaxation.

POSCAR file:
```
Y2Zn5Pb
1.0
4.3635 0.0000 0.0000
-2.1818 8.1944 0.0000
0.0000 0.0000 9.0970
Zn Y Pb
10 4 2
direct
0.1872 0.3743 0.8907 Zn
0.8128 0.6257 0.3907 Zn
0.3419 0.6837 0.9820 Zn
0.1872 0.3743 0.6093 Zn
0.3419 0.6837 0.5180 Zn
0.8128 0.6257 0.1093 Zn
0.6137 0.2273 0.7500 Zn
0.6581 0.3163 0.4820 Zn
0.6581 0.3163 0.0180 Zn
0.3863 0.7727 0.2500 Zn
0.0000 0.0000 0.0000 Y
0.2017 0.4034 0.2500 Y
0.7983 0.5966 0.7500 Y
0.0000 0.0000 0.5000 Y
0.4499 0.8999 0.7500 Pb
0.5501 0.1001 0.2500 Pb
```

Results
Energy relative to the elements = -2.82 eV/f.u.
E_tot = -25.83 eV/f.u.
Magnetization = 0.0 μB/cell
Space-group type = Cmcm (63)



The following is a DFT calculation (PBE) of Ho3ErTh4 after structural relaxation.

POSCAR file:
```
Ho3ErTh4
1.0
0.6944 3.3207 0.4122
-2.8628 1.9367 -10.7793
-5.1441 -1.5558 7.0323
Er Th Ho
1 4 3
direct
0.5000 0.0000 0.0000 Er
0.3706 0.1230 0.7412 Th
0.6294 0.8770 0.2588 Th
0.3706 0.6177 0.7412 Th
0.6294 0.3823 0.2588 Th
0.0000 0.5000 0.0000 Ho
0.2343 0.2342 0.4685 Ho
0.7657 0.7658 0.5315 Ho
```

Results
Energy relative to the elements = 1.09 eV/f.u.
E_tot = -46.88 eV/f.u.
Magnetization = 0.0 μB/cell
Space-group type = Immm (71)